No. 1
Crystalline NbAlNiPd at its relaxed geometry. Source: OQMD, functional PBE.

Output
Symmetry: No. 216
Energy above the most stable polymorph in this dataset (meV per atom): 0

a = 4.372 Å, b = 4.372 Å, c = 4.372 Å
α = 60.00°, β = 60.00°, γ = 60.00°
Fractional positions:
Al  0.000  0.000  0.000
Pd  0.250  0.250  0.250
Ni  0.750  0.750  0.750
Nb  0.500  0.500  0.500


No. 2
Crystalline NbAlNiPd at its relaxed geometry. Source: OQMD, functional PBE.

Output
Symmetry: No. 216
Energy above the most stable polymorph in this dataset (meV per atom): 153

a = 4.372 Å, b = 4.372 Å, c = 4.372 Å
α = 60.00°, β = 60.00°, γ = 60.00°
Fractional positions:
Nb  0.250  0.250  0.250
Ni  0.750  0.750  0.750
Al  0.000  0.000  0.000
Pd  0.500  0.500  0.500


Question: Which of these has the lowest energy above the most stable polymorph in this dataset?
Answer: number 1


Repeat the second record exactly.
Crystalline NbAlNiPd at its relaxed geometry. Source: OQMD, functional PBE.

Output
Symmetry: No. 216
Energy above the most stable polymorph in this dataset (meV per atom): 153

a = 4.372 Å, b = 4.372 Å, c = 4.372 Å
α = 60.00°, β = 60.00°, γ = 60.00°
Fractional positions:
Nb  0.250  0.250  0.250
Ni  0.750  0.750  0.750
Al  0.000  0.000  0.000
Pd  0.500  0.500  0.500


Question: Look up the energy above the most stable polymorph in this dataset of the second one.
Answer: 153 meV per atom


Question: The lowest energy above the most stable polymorph in this dataset belongs to which entry?
Answer: number 1